(1)
Re2SnO8 | PBE | optimized geometry

abc: 6.092 6.513 6.513
angles: 58.20 76.23 76.23
Sites, in units of the cell vectors:
1 O 0.796 0.086 0.656
2 O 0.204 0.914 0.344
3 O 0.204 0.344 0.914
4 O 0.226 0.349 0.349
5 O 0.622 0.143 0.143
6 O 0.378 0.857 0.857
7 O 0.774 0.651 0.651
8 O 0.796 0.656 0.086
9 Re 0.319 0.191 0.191
10 Re 0.681 0.809 0.809
11 Sn 0.000 0.000 0.000



(2)
NaAc3Sn6Pd2 | PBE | optimized geometry

abc: 6.849 6.849 8.976
angles: 90.00 90.00 120.00
Sites, in units of the cell vectors:
1 Ac 0.333 0.667 0.628
2 Ac 0.667 0.333 0.372
3 Ac 0.000 0.000 0.000
4 Sn 0.811 0.622 0.724
5 Sn 0.811 0.189 0.724
6 Sn 0.378 0.189 0.724
7 Sn 0.622 0.811 0.276
8 Sn 0.189 0.378 0.276
9 Sn 0.189 0.811 0.276
10 Pd 0.667 0.333 0.964
11 Pd 0.333 0.667 0.036
12 Na 0.000 0.000 0.500

DFT formation energy   -0.346 eV per atom



(3)
NaLiFeN2 | PBE | optimized geometry

abc: 3.241 5.611 6.820
angles: 99.57 90.00 106.79
Sites, in units of the cell vectors:
1 Fe 0.054 0.109 0.176
2 Fe 0.946 0.891 0.824
3 Na 0.366 0.731 0.357
4 Na 0.634 0.269 0.643
5 Li 0.694 0.388 0.065
6 Li 0.306 0.612 0.935
7 N 0.114 0.228 0.932
8 N 0.594 0.188 0.289
9 N 0.406 0.812 0.711
10 N 0.886 0.772 0.068



(4)
Cr2InTe | PBE | optimized geometry

abc: 5.137 5.137 5.137
angles: 126.82 126.82 78.55
Sites, in units of the cell vectors:
1 Te 0.750 0.250 0.500
2 Cr 0.000 0.000 0.000
3 Cr 0.500 0.500 0.000
4 In 0.250 0.750 0.500

ΔE to the lowest computed polymorph   222.7 meV per atom



(5)
Cs3BiH | PBE | optimized geometry

abc: 6.100 6.100 6.100
angles: 90.00 90.00 90.00
Sites, in units of the cell vectors:
1 Cs 0.500 0.000 0.000
2 Cs 0.000 0.000 0.500
3 Cs 0.000 0.500 0.000
4 Bi 0.500 0.500 0.500
5 H 0.000 0.000 0.000

ΔE to the lowest computed polymorph   0.0 meV per atom



(6)
MgTcI3 | PBE | optimized geometry

abc: 5.711 5.711 5.711
angles: 90.00 90.00 90.00
Sites, in units of the cell vectors:
1 I 0.000 0.500 0.000
2 I 0.500 0.000 0.000
3 I 0.000 0.000 0.500
4 Tc 0.500 0.500 0.500
5 Mg 0.000 0.000 0.000

ΔE to the lowest computed polymorph   168.8 meV per atom



(7)
AcLa3Pu2Se6 | PBE | optimized geometry

abc: 7.421 7.421 7.462
angles: 99.56 99.56 120.01
Sites, in units of the cell vectors:
1 Se 0.572 0.917 0.753
2 Se 0.428 0.083 0.247
3 Se 0.735 0.735 0.242
4 Se 0.265 0.265 0.758
5 Se 0.083 0.428 0.247
6 Se 0.917 0.572 0.753
7 La 0.500 0.500 0.500
8 La 0.837 0.163 0.500
9 La 0.163 0.837 0.500
10 Pu 0.667 0.333 0.000
11 Pu 0.333 0.667 0.000
12 Ac 0.000 0.000 0.000



(8)
Mo3C4 | PBE | optimized geometry

abc: 5.831 5.831 2.730
angles: 90.00 90.00 120.00
Sites, in units of the cell vectors:
1 C 0.667 0.333 0.500
2 C 0.000 0.000 0.749
3 C 0.333 0.667 0.500
4 C 0.000 0.000 0.251
5 Mo 0.500 0.000 0.000
6 Mo 0.500 0.500 0.000
7 Mo 0.000 0.500 0.000

ΔE to the lowest computed polymorph   382.2 meV per atom
DFT formation energy   0.984 eV per atom



Number 1: E -7.722 eV/atom. Number 2: E -4.349 eV/atom. Number 3: E -5.861 eV/atom. Number 4: E -5.789 eV/atom. Number 5: E -2.178 eV/atom. Number 6: E -2.865 eV/atom. Number 7: E -7.518 eV/atom. Number 8: E -8.929 eV/atom.